Record 1
# Tl2IF

An optimized crystal structure of Tl2IF (PBE, Alexandria).

abc: 3.869 3.869 7.825
angles: 90.00 90.00 90.00
Space group P4/mmm (No. 123)
Inequivalent atoms, fractional coordinates:
Tl 0.000 0.000 0.208
I 0.500 0.500 0.500
F 0.500 0.500 0.000

Properties
The relative energy among the computed polymorphs is 174 meV per atom. As for the formation energy from raw total energies: -1.033 eV/atom.


Record 2
# Sc2ZnBi2

An optimized crystal structure of Sc2ZnBi2 (PBE, Alexandria).

abc: 7.823 7.823 4.085
angles: 90.00 90.00 90.00
Space group P4/mbm (No. 127)
Inequivalent atoms, fractional coordinates:
Sc 0.148 0.352 0.000
Zn 0.000 0.000 0.000
Bi 0.161 0.661 0.500

Properties
The formation energy comes out at -364 meV/atom. The relative energy among the computed polymorphs is 0 meV per atom. Its density of states at the Fermi level is 0.1846 states/eV per atom.


Record 3
# Tb5YSn4

An optimized crystal structure of Tb5YSn4 (PBE, Alexandria).

abc: 19.089 3.698 9.592
angles: 90.00 106.41 90.00
Space group C2/m (No. 12)
Inequivalent atoms, fractional coordinates:
Tb 0.000 0.000 0.000
Tb 0.164 0.500 0.320
Tb 0.174 0.500 0.859
Y 0.000 0.000 0.500
Sn 0.005 0.500 0.756
Sn 0.169 0.000 0.590

Properties
The formation energy comes out at -329 meV/atom. Its density of states at the Fermi level is 0.8338 states/eV per atom.


Record 4
# VSiGe2

An optimized crystal structure of VSiGe2 (PBE, Alexandria).

abc: 5.898 5.898 10.341
angles: 90.00 90.00 90.00
Space group I-42d (No. 122)
Inequivalent atoms, fractional coordinates:
V 0.000 0.000 0.000
Si 0.000 0.000 0.500
Ge 0.241 0.250 0.625

Properties
Its density of states at the Fermi level is 0.9705 states/eV per atom. As for the formation energy from raw total energies: 0.577 eV/atom.


Record 5
# BiSb2TeI

An optimized crystal structure of BiSb2TeI (PBE, Alexandria).

abc: 5.863 5.863 5.658
angles: 90.00 90.00 90.00
Space group P4/mmm (No. 123)
Inequivalent atoms, fractional coordinates:
Bi 0.000 0.000 0.000
Sb 0.000 0.500 0.500
Te 0.500 0.500 0.500
I 0.500 0.500 0.000

Properties
The relative energy among the computed polymorphs is 0 meV per atom. Its density of states at the Fermi level is 1.2120 states/eV per atom. As for the formation energy from raw total energies: 0.703 eV/atom.


Record 6
# NaGe2O4

An optimized crystal structure of NaGe2O4 (PBE, Alexandria).

abc: 5.336 9.039 8.623
angles: 90.00 90.00 90.00
Space group Cccm (No. 66)
Inequivalent atoms, fractional coordinates:
Na 0.000 0.000 0.250
Ge 0.001 0.278 0.000
O 0.205 0.110 0.500
O 0.250 0.250 0.150

Properties
Its density of states at the Fermi level is 0.1865 states/eV per atom. As for the formation energy from raw total energies: -1.361 eV/atom.


Record 7
# Ce3Hf2UAs6

An optimized crystal structure of Ce3Hf2UAs6 (PBE, Alexandria).

abc: 17.686 4.037 8.164
angles: 90.00 103.57 90.00
Space group C2/m (No. 12)
Inequivalent atoms, fractional coordinates:
Ce 0.000 0.000 0.000
Ce 0.165 0.500 0.332
Hf 0.169 0.500 0.837
U 0.000 0.000 0.500
As 0.008 0.500 0.749
As 0.166 0.000 0.601
As 0.172 0.000 0.071

Properties
The formation energy comes out at -1173 meV/atom. Its density of states at the Fermi level is 1.6673 states/eV per atom.


Record 8
# Ce2PuPb9

An optimized crystal structure of Ce2PuPb9 (PBE, Alexandria).

abc: 4.893 4.893 14.681
angles: 90.00 90.00 90.00
Space group P4/mmm (No. 123)
Inequivalent atoms, fractional coordinates:
Ce 0.000 0.000 0.167
Pu 0.000 0.000 0.500
Pb 0.000 0.500 0.000
Pb 0.000 0.500 0.335
Pb 0.500 0.500 0.168
Pb 0.500 0.500 0.500

Properties
The formation energy comes out at -290 meV/atom. Its density of states at the Fermi level is 1.9889 states/eV per atom.


Record 9
# Sr2ReSi

An optimized crystal structure of Sr2ReSi (PBE, Alexandria).

abc: 3.980 5.112 10.737
angles: 90.00 90.00 90.00
Space group Imm2 (No. 44)
Inequivalent atoms, fractional coordinates:
Sr 0.000 0.000 0.000
Sr 0.000 0.500 0.212
Re 0.000 0.500 0.811
Si 0.000 0.000 0.426

Properties
Its density of states at the Fermi level is 0.7192 states/eV per atom. As for the formation energy from raw total energies: 0.250 eV/atom.


Record 10
# SiPt3

An optimized crystal structure of SiPt3 (PBE, Alexandria).

abc: 4.998 4.998 4.998
angles: 90.00 90.00 90.00
Space group Pm-3n (No. 223)
Inequivalent atoms, fractional coordinates:
Si 0.000 0.000 0.000
Pt 0.000 0.250 0.500

Properties
Its density of states at the Fermi level is 1.3732 states/eV per atom. As for the formation energy from raw total energies: 0.094 eV/atom.


Record 11
# In5P

An optimized crystal structure of In5P (PBE, Alexandria).

abc: 6.0534 6.0534 4.8538
angles: 90.00 90.00 120.00
Space group P-62m (No. 189)
Inequivalent atoms, fractional coordinates:
In 0.0000 0.6895 0.0000
In 0.3333 0.6667 0.5000
P 0.0000 0.0000 0.5000

Properties
The formation energy comes out at 167 meV/atom. The relative energy among the computed polymorphs is 93 meV per atom. Its density of states at the Fermi level is 0.4874 states/eV per atom.


Record 12
# Cs2BiSe2O6

An optimized crystal structure of Cs2BiSe2O6 (PBE, Alexandria).

abc: 6.4035 6.4035 23.1964
angles: 90.00 90.00 120.00
Space group R-3m (No. 166, hexagonal axes)
Inequivalent atoms, fractional coordinates:
Cs 0.0000 0.0000 0.2400
Bi 0.0000 0.0000 0.5000
Se 0.0000 0.0000 0.0807
O 0.0414 0.5207 0.7776

Properties
Its density of states at the Fermi level is 0.2414 states/eV per atom. As for the formation energy from raw total energies: -1.082 eV/atom.


Record 13
# Tb3Er4

An optimized crystal structure of Tb3Er4 (PBE, Alexandria).

abc: 11.118 4.981 7.876
angles: 90.00 98.17 90.00
Space group C2/m (No. 12)
Inequivalent atoms, fractional coordinates:
Tb 0.000 0.000 0.000
Tb 0.071 0.500 0.715
Er 0.143 0.000 0.429
Er 0.214 0.500 0.143

Properties
The formation energy comes out at 19 meV/atom. Its density of states at the Fermi level is 1.3308 states/eV per atom.


Record 14
# CsZnPt

An optimized crystal structure of CsZnPt (PBE, Alexandria).

abc: 4.3432 4.3432 5.6162
angles: 90.00 90.00 120.00
Space group P-6m2 (No. 187)
Inequivalent atoms, fractional coordinates:
Cs 0.0000 0.0000 0.0000
Zn 0.6667 0.3333 0.5000
Pt 0.3333 0.6667 0.5000

Properties
The formation energy comes out at -165 meV/atom. The relative energy among the computed polymorphs is 143 meV per atom. Its density of states at the Fermi level is 0.3928 states/eV per atom.


Record 15
# Ta2FePtN

An optimized crystal structure of Ta2FePtN (PBE, Alexandria).

abc: 4.227 4.227 3.841
angles: 90.00 90.00 90.00
Space group P4/mmm (No. 123)
Inequivalent atoms, fractional coordinates:
Ta 0.000 0.500 0.000
Fe 0.000 0.000 0.500
Pt 0.500 0.500 0.500
N 0.000 0.000 0.000

Properties
Its density of states at the Fermi level is 0.7536 states/eV per atom. As for the formation energy from raw total energies: -0.617 eV/atom.


Record 16
# ZrGaCoPd

An optimized crystal structure of ZrGaCoPd (PBE, Alexandria).

abc: 6.284 6.284 6.284
angles: 90.00 90.00 90.00
Space group F-43m (No. 216)
Inequivalent atoms, fractional coordinates:
Zr 0.000 0.000 0.000
Ga 0.000 0.000 0.500
Co 0.250 0.250 0.250
Pd 0.250 0.250 0.750

Properties
The formation energy comes out at -499 meV/atom. Its density of states at the Fermi level is 0.8839 states/eV per atom.


Record 17
# Zr2RhBr

An optimized crystal structure of Zr2RhBr (PBE, Alexandria).

abc: 3.877 3.877 10.561
angles: 90.00 90.00 90.00
Space group I-4m2 (No. 119)
Inequivalent atoms, fractional coordinates:
Zr 0.000 0.000 0.000
Zr 0.000 0.500 0.250
Rh 0.000 0.000 0.500
Br 0.000 0.500 0.750

Properties
The relative energy among the computed polymorphs is 463 meV per atom. Its density of states at the Fermi level is 1.2429 states/eV per atom. As for the formation energy from raw total energies: -0.136 eV/atom.


Record 18
# GaPtBr

An optimized crystal structure of GaPtBr (PBE, Alexandria).

abc: 19.574 3.990 8.010
angles: 90.00 90.45 90.00
Space group C2/m (No. 12)
Inequivalent atoms, fractional coordinates:
Ga 0.245 0.000 0.386
Ga 0.246 0.500 0.113
Pt 0.171 0.000 0.134
Pt 0.174 0.000 0.644
Br 0.084 0.000 0.866
Br 0.097 0.500 0.286

Properties
The relative energy among the computed polymorphs is 79 meV per atom. As for the formation energy from raw total energies: -0.445 eV/atom.


Record 19
# LaPuAgPd

An optimized crystal structure of LaPuAgPd (PBE, Alexandria).

abc: 7.351 7.351 7.351
angles: 90.00 90.00 90.00
Space group F-43m (No. 216)
Inequivalent atoms, fractional coordinates:
La 0.000 0.000 0.000
Pu 0.000 0.000 0.500
Ag 0.250 0.250 0.250
Pd 0.250 0.250 0.750

Properties
The formation energy comes out at -292 meV/atom. Its density of states at the Fermi level is 3.3200 states/eV per atom.


Record 20
# CaLaGe2

An optimized crystal structure of CaLaGe2 (PBE, Alexandria).

abc: 4.899 4.899 4.204
angles: 90.00 90.00 90.00
Space group P4/mmm (No. 123)
Inequivalent atoms, fractional coordinates:
Ca 0.000 0.000 0.000
La 0.500 0.500 0.000
Ge 0.000 0.500 0.500

Properties
The formation energy comes out at -598 meV/atom. Its density of states at the Fermi level is 0.5495 states/eV per atom.